Entry 1:
Below is a crystal of Si2Au relaxed with PBEsol, with properties calculated at the meta-GGA SCAN level.

Lattice parameters (Å, degrees): 4.4645 4.4645 5.6181 90.00 90.00 120.00
Atoms (fractional coordinates):
Au1 0.6667 0.3333 0.7500
Au2 0.3333 0.6667 0.2500
Si1 0.0000 0.0000 0.0000
Si2 0.0000 0.0000 0.5000
Si3 0.6667 0.3333 0.2500
Si4 0.3333 0.6667 0.7500

Computed properties:
- E_form (uncorrected) (meV per atom) = 503
- final energy (eV for the cell shown) = -175.36
- SG = P6_3/mmc, No. 194
- size of the total moment (μB per cell) = 0.000

---

Entry 2:
Below is a crystal of Y2BiAsAu relaxed with PBEsol, with properties calculated at the meta-GGA SCAN level.

Lattice parameters (Å, degrees): 5.2169 5.7031 5.7031 90.00 90.00 90.00
Atoms (fractional coordinates):
Y1 0.0000 0.0000 0.5000
Y2 0.0000 0.5000 0.0000
As1 0.5000 0.0000 0.0000
Au1 0.5000 0.5000 0.5000
Bi1 0.0000 0.0000 0.0000

Computed properties:
- ΔH_f (0 K) (eV per atom) = 0.411
- final energy (eV for the cell shown) = -221.56
- SG = P4/mmm, No. 123
- size of the total moment (μB per cell) = 0.000

---

Entry 3:
Below is a crystal of Fe2Co2Mo relaxed with PBEsol, with properties calculated at the meta-GGA SCAN level.

Lattice parameters (Å, degrees): 3.3133 3.3133 5.8321 106.50 106.50 90.00
Atoms (fractional coordinates):
Co1 0.6005 0.6005 0.2010
Co2 0.3995 0.3995 0.7990
Fe1 0.2500 0.7500 0.5000
Fe2 0.7500 0.2500 0.5000
Mo1 0.0000 0.0000 0.0000

Computed properties:
- ΔH_f (0 K) (eV per atom) = 0.503
- final energy (eV for the cell shown) = -103.24
- SG = I4/mmm, No. 139
- size of the total moment (μB per cell) = 5.440

---

Question: Number 3 is which compound?
Answer: Fe2Co2Mo

---

Question: Which value of final energy does entry 2 give?
Answer: -221.56 eV for the cell shown

---

Question: size of the total moment of number 2 (Y2BiAsAu)?
Answer: 0.000 μB per cell

---

Question: What is the final energy in the first record?
Answer: -175.36 eV for the cell shown